(1)
## Ta2MnCl (PBE-GGA)

Data for an optimized crystal structure of Ta2MnCl.

Cell: 5.449 5.449 5.449 Å, 140.95 140.95 56.41°
Sites, in units of the cell vectors:
1 Ta 0.000 0.000 0.000
2 Ta 0.750 0.250 0.500
3 Mn 0.500 0.500 0.000
4 Cl 0.250 0.750 0.500

Summary:
uncorrected formation energy: 0.72 eV/atom
symmetry: No. 119

(2)
## Rb2NdMnSe4 (PBE-GGA)

Data for an optimized crystal structure of Rb2NdMnSe4.

Cell: 8.901 8.901 8.901 Å, 122.97 120.05 87.42°
Sites, in units of the cell vectors:
1 Rb 0.000 0.000 0.000
2 Rb 0.500 0.000 0.000
3 Rb 0.500 0.000 0.500
4 Rb 0.500 0.500 0.500
5 Nd 0.000 0.500 0.500
6 Nd 0.500 0.500 0.000
7 Mn 0.000 0.000 0.500
8 Mn 0.000 0.500 0.000
9 Se 0.170 0.739 0.431
10 Se 0.192 0.261 0.931
11 Se 0.239 0.265 0.526
12 Se 0.239 0.713 0.974
13 Se 0.761 0.287 0.026
14 Se 0.761 0.735 0.474
15 Se 0.808 0.739 0.069
16 Se 0.830 0.261 0.569

Summary:
uncorrected formation energy: -1.09 eV/atom
symmetry: No. 74

no.,electronic total energy (eV/atom)
1,-7.960
2,-4.812